{"formula": "Sr12H5Ru3", "functional": "PBE", "state": "relaxed", "lattice_angstrom": [[-8.2741, 8.2741, 8.2741], [8.2741, -8.2741, 8.2741], [8.2741, 8.2741, -8.2741]], "species": ["Sr", "Sr", "Sr", "Sr", "Sr", "Sr", "Sr", "Sr", "Sr", "Sr", "Sr", "Sr", "Sr", "Sr", "Sr", "Sr", "Sr", "Sr", "Sr", "Sr", "Sr", "Sr", "Sr", "Sr", "Sr", "Sr", "Sr", "Sr", "Sr", "Sr", "Sr", "Sr", "Sr", "Sr", "Sr", "Sr", "Sr", "Sr", "Sr", "Sr", "Sr", "Sr", "Sr", "Sr", "Sr", "Sr", "Sr", "Sr", "H", "H", "H", "H", "H", "H", "H", "H", "H", "H", "H", "H", "H", "H", "H", "H", "H", "H", "H", "H", "Ru", "Ru", "Ru", "Ru", "Ru", "Ru", "Ru", "Ru", "Ru", "Ru", "Ru", "Ru"], "fractional_positions": [[0.0302, 0.2140, 0.1277], [0.0302, 0.3162, 0.9025], [0.0863, 0.7140, 0.6838], [0.0863, 0.8723, 0.4025], [0.0975, 0.6277, 0.4137], [0.0975, 0.9698, 0.6838], [0.1277, 0.0302, 0.2140], [0.1277, 0.5975, 0.9137], [0.1838, 0.2140, 0.5863], [0.1838, 0.4698, 0.5975], [0.2140, 0.1277, 0.0302], [0.2140, 0.5863, 0.1838], [0.2860, 0.3162, 0.9137], [0.2860, 0.4698, 0.3723], [0.3162, 0.9025, 0.0302], [0.3162, 0.9137, 0.2860], [0.3723, 0.2860, 0.4698], [0.3723, 0.5863, 0.9025], [0.4025, 0.0863, 0.8723], [0.4025, 0.8162, 0.5302], [0.4137, 0.0975, 0.6277], [0.4137, 0.8162, 0.7860], [0.4698, 0.3723, 0.2860], [0.4698, 0.5975, 0.1838], [0.5302, 0.4025, 0.8162], [0.5302, 0.6277, 0.7140], [0.5863, 0.1838, 0.2140], [0.5863, 0.9025, 0.3723], [0.5975, 0.1838, 0.4698], [0.5975, 0.9137, 0.1277], [0.6277, 0.4137, 0.0975], [0.6277, 0.7140, 0.5302], [0.6838, 0.0863, 0.7140], [0.6838, 0.0975, 0.9698], [0.7140, 0.5302, 0.6277], [0.7140, 0.6838, 0.0863], [0.7860, 0.4137, 0.8162], [0.7860, 0.8723, 0.9698], [0.8162, 0.5302, 0.4025], [0.8162, 0.7860, 0.4137], [0.8723, 0.4025, 0.0863], [0.8723, 0.9698, 0.7860], [0.9025, 0.0302, 0.3162], [0.9025, 0.3723, 0.5863], [0.9137, 0.1277, 0.5975], [0.9137, 0.2860, 0.3162], [0.9698, 0.6838, 0.0975], [0.9698, 0.7860, 0.8723], [0.0000, 0.0000, 0.0000], [0.0000, 0.0000, 0.5000], [0.0000, 0.5000, 0.0000], [0.0000, 0.5000, 0.5000], [0.1250, 0.7500, 0.8750], [0.1250, 0.8750, 0.2500], [0.2500, 0.1250, 0.8750], [0.2500, 0.6250, 0.3750], [0.3750, 0.2500, 0.6250], [0.3750, 0.6250, 0.7500], [0.5000, 0.0000, 0.0000], [0.5000, 0.0000, 0.5000], [0.5000, 0.5000, 0.0000], [0.5000, 0.5000, 0.5000], [0.6250, 0.3750, 0.2500], [0.6250, 0.7500, 0.3750], [0.7500, 0.3750, 0.6250], [0.7500, 0.8750, 0.1250], [0.8750, 0.1250, 0.7500], [0.8750, 0.2500, 0.1250], [0.1250, 0.2500, 0.3750], [0.1250, 0.3750, 0.7500], [0.2500, 0.3750, 0.1250], [0.2500, 0.8750, 0.6250], [0.3750, 0.1250, 0.2500], [0.3750, 0.7500, 0.1250], [0.6250, 0.2500, 0.8750], [0.6250, 0.8750, 0.7500], [0.7500, 0.1250, 0.3750], [0.7500, 0.6250, 0.8750], [0.8750, 0.6250, 0.2500], [0.8750, 0.7500, 0.6250]], "dos_at_fermi_per_ev_atom": 0.79, "energy_ev_per_cell": -258.48, "total_magnetization_mub_per_fu": 0.0, "spacegroup": "Ia-3d, No. 230"}